# 1
DFT (PBE) results for a geometry-optimized Ac2CrGa3Pt12 structure.

## Properties
Total magnetic moment ... 2.2 μB per cell
Total DFT energy (no corrections) ... -107.33 eV/cell

Cell lengths 9.5937, 9.5937, 9.5937 Å; angles 41.93, 41.93, 41.93 degrees
Fractional coordinates of all 18 atoms:
Ac  0.1547  0.1547  0.1547
Ac  0.8453  0.8453  0.8453
Cr  0.5000  0.5000  0.5000
Ga  0.0000  0.5000  0.5000
Ga  0.5000  0.0000  0.5000
Ga  0.5000  0.5000  0.0000
Pt  0.0894  0.0894  0.6825
Pt  0.0894  0.6825  0.0894
Pt  0.1522  0.5718  0.5718
Pt  0.3175  0.9106  0.9106
Pt  0.4282  0.4282  0.8478
Pt  0.4282  0.8478  0.4282
Pt  0.5718  0.1522  0.5718
Pt  0.5718  0.5718  0.1522
Pt  0.6825  0.0894  0.0894
Pt  0.8478  0.4282  0.4282
Pt  0.9106  0.3175  0.9106
Pt  0.9106  0.9106  0.3175


# 2
DFT (PBE) results for a geometry-optimized Ac2CrGaS6 structure.

## Properties
ΔE_f (raw) ... -1.383 eV/atom
Total magnetic moment ... 6.0 μB per cell

Cell lengths 6.6083, 7.0077, 11.5686 Å; angles 90.00, 124.75, 90.00 degrees
Fractional coordinates of all 20 atoms:
Ac  0.2249  0.0883  0.2510
Ac  0.2249  0.4117  0.7510
Ac  0.7751  0.5883  0.2490
Ac  0.7751  0.9117  0.7490
Cr  0.0000  0.0000  0.5000
Cr  0.0000  0.5000  0.0000
Ga  0.5000  0.0000  0.0000
Ga  0.5000  0.5000  0.5000
S  0.1486  0.1975  0.9581
S  0.1486  0.3025  0.4581
S  0.2587  0.6913  0.9585
S  0.2587  0.8087  0.4585
S  0.3326  0.5016  0.2477
S  0.3326  0.9984  0.7477
S  0.6674  0.0016  0.2523
S  0.6674  0.4984  0.7523
S  0.7413  0.1913  0.5415
S  0.7413  0.3087  0.0415
S  0.8514  0.6975  0.5419
S  0.8514  0.8025  0.0419


# 3
DFT (PBE) results for a geometry-optimized AcCrGe3 structure.

## Properties
Total magnetic moment ... 2.7 μB per cell
Energy above the most stable polymorph in this dataset ... 0.0 meV per atom

Cell lengths 6.3200, 6.3200, 5.8590 Å; angles 90.00, 90.00, 120.00 degrees
Fractional coordinates of all 10 atoms:
Ac  0.3333  0.6667  0.2500
Ac  0.6667  0.3333  0.7500
Cr  0.0000  0.0000  0.0000
Cr  0.0000  0.0000  0.5000
Ge  0.1904  0.3808  0.7500
Ge  0.1904  0.8096  0.7500
Ge  0.3808  0.1904  0.2500
Ge  0.6192  0.8096  0.7500
Ge  0.8096  0.1904  0.2500
Ge  0.8096  0.6192  0.2500


# 4
DFT (PBE) results for a geometry-optimized Ac3Cr2Ge9 structure.

## Properties
Total magnetic moment ... 5.5 μB per cell
Total DFT energy (no corrections) ... -77.43 eV/cell

Cell lengths 6.5075, 6.5075, 8.3944 Å; angles 90.00, 90.00, 120.00 degrees
Fractional coordinates of all 14 atoms:
Ac  0.0000  0.0000  0.0000
Ac  0.3333  0.6667  0.3298
Ac  0.6667  0.3333  0.6702
Cr  0.3333  0.6667  0.7943
Cr  0.6667  0.3333  0.2057
Ge  0.0000  0.5000  0.0000
Ge  0.1418  0.2835  0.6361
Ge  0.1418  0.8582  0.6361
Ge  0.2835  0.1418  0.3639
Ge  0.5000  0.0000  0.0000
Ge  0.5000  0.5000  0.0000
Ge  0.7165  0.8582  0.6361
Ge  0.8582  0.1418  0.3639
Ge  0.8582  0.7165  0.3639


# 5
DFT (PBE) results for a geometry-optimized AcCrGe3 structure.

## Properties
Total magnetic moment ... 0.3 μB per cell
Energy above the most stable polymorph in this dataset ... 178.2 meV per atom

Cell lengths 4.7619, 4.7619, 4.7619 Å; angles 90.00, 90.00, 90.00 degrees
Fractional coordinates of all 5 atoms:
Ac  0.0000  0.0000  0.0000
Cr  0.5000  0.5000  0.5000
Ge  0.0000  0.5000  0.5000
Ge  0.5000  0.0000  0.5000
Ge  0.5000  0.5000  0.0000


# 6
DFT (PBE) results for a geometry-optimized AcCrGe structure.

## Properties
Total magnetic moment ... 13.4 μB per cell
Total DFT energy (no corrections) ... -73.33 eV/cell

Cell lengths 8.6799, 7.5517, 7.1762 Å; angles 72.17, 55.92, 51.91 degrees
Fractional coordinates of all 12 atoms:
Ac  0.0000  0.0000  0.0000
Ac  0.0000  0.0000  0.5000
Ac  0.0000  0.5000  0.0000
Ac  0.5000  0.0000  0.0000
Cr  0.2470  0.5030  0.2470
Cr  0.4970  0.7530  0.4970
Cr  0.5030  0.2470  0.5030
Cr  0.7530  0.4970  0.7530
Ge  0.2105  0.2105  0.5395
Ge  0.4605  0.4605  0.7895
Ge  0.5395  0.5395  0.2105
Ge  0.7895  0.7895  0.4605


# 7
DFT (PBE) results for a geometry-optimized Ac2CrGe5 structure.

## Properties
Total magnetic moment ... 2.6 μB per cell
Total DFT energy (no corrections) ... -43.72 eV/cell

Cell lengths 6.5694, 6.5694, 6.5694 Å; angles 122.44, 122.44, 85.83 degrees
Fractional coordinates of all 8 atoms:
Ac  0.0000  0.5000  0.5000
Ac  0.5000  0.0000  0.5000
Cr  0.2193  0.2193  0.0000
Ge  0.5325  0.5325  0.5708
Ge  0.5325  0.9618  0.0000
Ge  0.9529  0.9529  0.0000
Ge  0.9618  0.5325  0.0000
Ge  0.9618  0.9618  0.4292


# 8
DFT (PBE) results for a geometry-optimized Ac2CrGe4Ir3 structure.

## Properties
Total magnetic moment ... 2.8 μB per cell
Total DFT energy (no corrections) ... -69.16 eV/cell

Cell lengths 4.3875, 4.3875, 10.3992 Å; angles 90.00, 90.00, 90.00 degrees
Fractional coordinates of all 10 atoms:
Ac  0.0000  0.5000  0.2463
Ac  0.5000  0.0000  0.7537
Cr  0.0000  0.0000  0.5000
Ge  0.0000  0.0000  0.0000
Ge  0.0000  0.5000  0.6288
Ge  0.5000  0.0000  0.3712
Ge  0.5000  0.5000  0.0000
Ir  0.0000  0.5000  0.8774
Ir  0.5000  0.0000  0.1226
Ir  0.5000  0.5000  0.5000


# 9
DFT (PBE) results for a geometry-optimized Ac2CrGe2N6 structure.

## Properties
ΔE_f (raw) ... -0.310 eV/atom
Total magnetic moment ... 2.0 μB per cell

Cell lengths 6.3974, 6.3974, 6.3974 Å; angles 53.80, 53.80, 53.80 degrees
Fractional coordinates of all 11 atoms:
Ac  0.2121  0.2121  0.2121
Ac  0.7879  0.7879  0.7879
Cr  0.0000  0.0000  0.0000
Ge  0.4089  0.4089  0.4089
Ge  0.5911  0.5911  0.5911
N  0.2299  0.7634  0.7634
N  0.2366  0.2366  0.7701
N  0.2366  0.7701  0.2366
N  0.7634  0.2299  0.7634
N  0.7634  0.7634  0.2299
N  0.7701  0.2366  0.2366